(1)
A plane-wave DFT calculation with PBE was carried out for a geometry-optimized Na2SrAg2As2 structure.

The structure in CIF format:
```
data_Na2SrAg2As2
_cell_length_a 4.6473
_cell_length_b 4.6473
_cell_length_c 26.5762
_cell_angle_alpha 90.00
_cell_angle_beta 90.00
_cell_angle_gamma 120.00
_space_group_name_H-M_alt 'R -3 m'
_space_group_IT_number 166
_space_group_name_Hall '-R 3 2"'
loop_
_atom_site_label
_atom_site_type_symbol
_atom_site_fract_x
_atom_site_fract_y
_atom_site_fract_z
Na1 Na 0.0000 0.0000 0.1372
Sr1 Sr 0.0000 0.0000 0.0000
Ag1 Ag 0.0000 0.0000 0.4145
As1 As 0.0000 0.0000 0.2557
```

Calculated values
- Formation energy from the elements: -0.526 eV per atom

=====

(2)
A plane-wave DFT calculation with PBE was carried out for a geometry-optimized Na2AgTeAs structure.

The structure in CIF format:
```
data_Na2AgTeAs
_cell_length_a 5.4288
_cell_length_b 5.4288
_cell_length_c 5.2055
_cell_angle_alpha 90.00
_cell_angle_beta 90.00
_cell_angle_gamma 90.00
_space_group_name_H-M_alt 'P 4/m m m'
_space_group_IT_number 123
_space_group_name_Hall '-P 4 2'
loop_
_atom_site_label
_atom_site_type_symbol
_atom_site_fract_x
_atom_site_fract_y
_atom_site_fract_z
Na1 Na 0.0000 0.5000 0.0000
Ag1 Ag 0.0000 0.0000 0.0000
Te1 Te 0.0000 0.0000 0.5000
As1 As 0.5000 0.5000 0.5000
```

Calculated values
- Energy relative to the elements, uncorrected: 238 meV per atom

=====

Number 1: mass density 5.00 Mg/m³, M_tot 0.000 μB/f.u.. Number 2: mass density 3.86 Mg/m³, M_tot 0.000 μB/f.u..